[1]
The following is a PBE-GGA calculation of Ba2SrMo after structural relaxation, from the Alexandria database.

Cell lengths 12.5432, 12.5432, 12.5432 Å; angles 18.75, 18.75, 18.75 degrees
Positions (direct):
Ba1 0.2298 0.2298 0.2298
Ba2 0.7702 0.7702 0.7702
Sr1 0.0000 0.0000 0.0000
Mo1 0.5000 0.5000 0.5000

Values from the calculation:
V	44.54	Å³/atom
ΔH_f (0 K)	0.8981	eV per atom
energy above the most stable polymorph in this dataset	125.5	meV/atom

=====

[2]
The following is a PBE-GGA calculation of Ba2SrMo after structural relaxation, from the Alexandria database.

Cell lengths 7.9804, 7.9804, 7.9804 Å; angles 101.58, 101.58, 126.76 degrees
Positions (direct):
Ba1 0.0545 0.1250 0.4295
Ba2 0.3750 0.9455 0.0705
Ba3 0.6955 0.6250 0.5705
Ba4 0.8750 0.3045 0.9295
Sr1 0.2500 0.7500 0.5000
Sr2 0.5000 0.5000 0.0000
Mo1 0.0000 0.0000 0.0000
Mo2 0.7500 0.2500 0.5000

Values from the calculation:
V	45.50	Å³/atom
ΔH_f (0 K)	0.9539	eV per atom
energy above the most stable polymorph in this dataset	181.4	meV/atom

=====

[3]
The following is a PBE-GGA calculation of Ba2SrMo after structural relaxation, from the Alexandria database.

Cell lengths 6.1151, 6.1151, 6.1151 Å; angles 60.00, 60.00, 60.00 degrees
Positions (direct):
Ba1 0.0000 0.0000 0.0000
Ba2 0.2500 0.2500 0.2500
Sr1 0.7500 0.7500 0.7500
Mo1 0.5000 0.5000 0.5000

Values from the calculation:
V	40.42	Å³/atom
ΔH_f (0 K)	0.8718	eV per atom
energy above the most stable polymorph in this dataset	99.3	meV/atom

=====

[4]
The following is a PBE-GGA calculation of Ba4SrMo after structural relaxation, from the Alexandria database.

Cell lengths 7.6133, 7.6133, 7.6133 Å; angles 60.00, 60.00, 60.00 degrees
Positions (direct):
Ba1 0.1240 0.1240 0.1240
Ba2 0.1240 0.1240 0.6280
Ba3 0.1240 0.6280 0.1240
Ba4 0.6280 0.1240 0.1240
Sr1 0.5000 0.5000 0.5000
Mo1 0.7500 0.7500 0.7500

Values from the calculation:
V	52.01	Å³/atom
ΔH_f (0 K)	0.9312	eV per atom

=====

[5]
The following is a PBE-GGA calculation of BaSrMo after structural relaxation, from the Alexandria database.

Cell lengths 5.6792, 5.6792, 3.8437 Å; angles 90.00, 90.00, 120.00 degrees
Positions (direct):
Ba1 0.0000 0.0000 0.0000
Sr1 0.6667 0.3333 0.5915
Mo1 0.3333 0.6667 0.2918

Values from the calculation:
V	35.79	Å³/atom
ΔH_f (0 K)	1.1480	eV per atom
energy above the most stable polymorph in this dataset	160.0	meV/atom

=====

[6]
The following is a PBE-GGA calculation of Ba2Sr2Mo after structural relaxation, from the Alexandria database.

Cell lengths 8.4666, 8.4666, 6.7153 Å; angles 90.00, 90.00, 90.00 degrees
Positions (direct):
Ba1 0.1800 0.3200 0.0000
Ba2 0.3200 0.8200 0.0000
Ba3 0.6800 0.1800 0.0000
Ba4 0.8200 0.6800 0.0000
Sr1 0.1577 0.6577 0.5000
Sr2 0.3423 0.1577 0.5000
Sr3 0.6577 0.8423 0.5000
Sr4 0.8423 0.3423 0.5000
Mo1 0.0000 0.0000 0.5000
Mo2 0.5000 0.5000 0.5000

Values from the calculation:
V	48.14	Å³/atom
ΔH_f (0 K)	0.7942	eV per atom
energy above the most stable polymorph in this dataset	0.0	meV/atom

=====

[7]
The following is a PBE-GGA calculation of BaSrMo after structural relaxation, from the Alexandria database.

Cell lengths 5.7178, 5.7178, 5.7178 Å; angles 60.00, 60.00, 60.00 degrees
Positions (direct):
Ba1 0.0000 0.0000 0.0000
Sr1 0.5000 0.5000 0.5000
Mo1 0.7500 0.7500 0.7500

Values from the calculation:
V	44.06	Å³/atom
ΔH_f (0 K)	1.1953	eV per atom
energy above the most stable polymorph in this dataset	207.3	meV/atom

=====

[8]
The following is a PBE-GGA calculation of Ba2SrMo after structural relaxation, from the Alexandria database.

Cell lengths 7.6821, 7.6821, 7.6821 Å; angles 149.24, 130.83, 59.12 degrees
Positions (direct):
Ba1 0.0000 0.0000 0.0000
Ba2 0.6931 0.1931 0.5000
Sr1 0.3859 0.3859 0.0000
Mo1 0.1952 0.6952 0.5000

Values from the calculation:
V	43.51	Å³/atom
ΔH_f (0 K)	0.8028	eV per atom
energy above the most stable polymorph in this dataset	30.3	meV/atom

=====

[9]
The following is a PBE-GGA calculation of BaSrV2Mo after structural relaxation, from the Alexandria database.

Cell lengths 4.9999, 4.9999, 5.6783 Å; angles 90.00, 90.00, 90.00 degrees
Positions (direct):
Ba1 0.0000 0.0000 0.0000
Sr1 0.0000 0.0000 0.5000
V1 0.0000 0.5000 0.5000
V2 0.5000 0.0000 0.5000
Mo1 0.5000 0.5000 0.0000

Values from the calculation:
V	28.39	Å³/atom
ΔH_f (0 K)	2.6847	eV per atom

=====

[10]
The following is a PBE-GGA calculation of BaTaMo3 after structural relaxation, from the Alexandria database.

Cell lengths 4.8702, 4.8702, 4.8702 Å; angles 90.00, 90.00, 90.00 degrees
Positions (direct):
Ba1 0.0000 0.0000 0.0000
Ta1 0.5000 0.5000 0.5000
Mo1 0.0000 0.0000 0.5000
Mo2 0.0000 0.5000 0.0000
Mo3 0.5000 0.0000 0.0000

Values from the calculation:
V	23.10	Å³/atom
ΔH_f (0 K)	3.1612	eV per atom
energy above the most stable polymorph in this dataset	1585.1	meV/atom

=====

[11]
The following is a PBE-GGA calculation of BaTaMo2 after structural relaxation, from the Alexandria database.

Cell lengths 3.2721, 4.6602, 5.2230 Å; angles 90.00, 90.00, 90.00 degrees
Positions (direct):
Ba1 0.0000 0.0000 0.0000
Ta1 0.5000 0.0000 0.5000
Mo1 0.0000 0.5000 0.5000
Mo2 0.5000 0.5000 0.0000

Values from the calculation:
V	19.91	Å³/atom
ΔH_f (0 K)	1.2949	eV per atom
energy above the most stable polymorph in this dataset	649.7	meV/atom

=====

[12]
The following is a PBE-GGA calculation of BaTaMo2 after structural relaxation, from the Alexandria database.

Cell lengths 2.9872, 2.9872, 10.0842 Å; angles 90.00, 90.00, 111.23 degrees
Positions (direct):
Ba1 0.0000 0.0000 0.0000
Ta1 0.0000 0.0000 0.5000
Mo1 0.5000 0.5000 0.2934
Mo2 0.5000 0.5000 0.7066

Values from the calculation:
V	20.97	Å³/atom
ΔH_f (0 K)	0.7516	eV per atom
energy above the most stable polymorph in this dataset	106.4	meV/atom

=====

[13]
The following is a PBE-GGA calculation of BaTaMo2 after structural relaxation, from the Alexandria database.

Cell lengths 10.3339, 10.3339, 10.3339 Å; angles 17.46, 17.46, 17.46 degrees
Positions (direct):
Ba1 0.0000 0.0000 0.0000
Ta1 0.7707 0.7707 0.7707
Mo1 0.2341 0.2341 0.2341
Mo2 0.5054 0.5054 0.5054

Values from the calculation:
V	21.69	Å³/atom
ΔH_f (0 K)	0.8740	eV per atom
energy above the most stable polymorph in this dataset	228.7	meV/atom

=====

[14]
The following is a PBE-GGA calculation of Ba2TaMo after structural relaxation, from the Alexandria database.

Cell lengths 12.1868, 12.1868, 12.1868 Å; angles 15.08, 15.08, 15.08 degrees
Positions (direct):
Ba1 0.2471 0.2471 0.2471
Ba2 0.7529 0.7529 0.7529
Ta1 0.0000 0.0000 0.0000
Mo1 0.5000 0.5000 0.5000

Values from the calculation:
V	26.69	Å³/atom
ΔH_f (0 K)	1.5562	eV per atom
energy above the most stable polymorph in this dataset	945.8	meV/atom

=====

[15]
The following is a PBE-GGA calculation of Ba2TaMo after structural relaxation, from the Alexandria database.

Cell lengths 6.4944, 6.4944, 6.4944 Å; angles 141.10, 141.10, 56.19 degrees
Positions (direct):
Ba1 0.2500 0.7500 0.5000
Ba2 0.7500 0.2500 0.5000
Ta1 0.0000 0.0000 0.0000
Mo1 0.5000 0.5000 0.0000

Values from the calculation:
V	26.80	Å³/atom
ΔH_f (0 K)	1.3936	eV per atom
energy above the most stable polymorph in this dataset	783.3	meV/atom

=====

[16]
The following is a PBE-GGA calculation of BaTaMo after structural relaxation, from the Alexandria database.

Cell lengths 8.4017, 8.1685, 3.1289 Å; angles 83.34, 74.95, 21.71 degrees
Positions (direct):
Ba1 0.0000 0.0000 0.0000
Ta1 0.6988 0.6988 0.3012
Mo1 0.3152 0.3152 0.6848

Values from the calculation:
V	23.94	Å³/atom
ΔH_f (0 K)	0.8481	eV per atom
energy above the most stable polymorph in this dataset	131.6	meV/atom

=====

[17]
The following is a PBE-GGA calculation of BaTaMo2 after structural relaxation, from the Alexandria database.

Cell lengths 5.0126, 5.0126, 6.7432 Å; angles 93.54, 93.54, 38.03 degrees
Positions (direct):
Ba1 0.0000 0.0000 0.0000
Ta1 0.5000 0.5000 0.5000
Mo1 0.2389 0.2389 0.6332
Mo2 0.7611 0.7611 0.3668

Values from the calculation:
V	26.04	Å³/atom
ΔH_f (0 K)	0.8472	eV per atom
energy above the most stable polymorph in this dataset	202.0	meV/atom

=====

[18]
The following is a PBE-GGA calculation of Ba2TaMo after structural relaxation, from the Alexandria database.

Cell lengths 6.4763, 6.4763, 3.0819 Å; angles 90.00, 90.00, 123.59 degrees
Positions (direct):
Ba1 0.0000 0.5000 0.0000
Ba2 0.5000 0.0000 0.0000
Ta1 0.0000 0.0000 0.5000
Mo1 0.5000 0.5000 0.5000

Values from the calculation:
V	26.92	Å³/atom
ΔH_f (0 K)	1.4200	eV per atom
energy above the most stable polymorph in this dataset	809.6	meV/atom

=====

[19]
The following is a PBE-GGA calculation of BaTaMo2 after structural relaxation, from the Alexandria database.

Cell lengths 5.7775, 5.7775, 5.7775 Å; angles 139.21, 139.21, 59.05 degrees
Positions (direct):
Ba1 0.0000 0.0000 0.0000
Ta1 0.7500 0.2500 0.5000
Mo1 0.2500 0.7500 0.5000
Mo2 0.5000 0.5000 0.0000

Values from the calculation:
V	20.38	Å³/atom
ΔH_f (0 K)	1.4238	eV per atom
energy above the most stable polymorph in this dataset	778.5	meV/atom

=====

[20]
The following is a PBE-GGA calculation of BaTaMo after structural relaxation, from the Alexandria database.

Cell lengths 3.3595, 3.3595, 7.6622 Å; angles 90.00, 90.00, 120.00 degrees
Positions (direct):
Ba1 0.0000 0.0000 0.0000
Ta1 0.3333 0.6667 0.5913
Mo1 0.6667 0.3333 0.3692

Values from the calculation:
V	24.96	Å³/atom
ΔH_f (0 K)	0.9069	eV per atom
energy above the most stable polymorph in this dataset	190.4	meV/atom

=====

[21]
The following is a PBE-GGA calculation of Ba2TaMo after structural relaxation, from the Alexandria database.

Cell lengths 5.6445, 5.6445, 5.6445 Å; angles 60.00, 60.00, 60.00 degrees
Positions (direct):
Ba1 0.2500 0.2500 0.2500
Ba2 0.7500 0.7500 0.7500
Ta1 0.0000 0.0000 0.0000
Mo1 0.5000 0.5000 0.5000

Values from the calculation:
V	31.79	Å³/atom
ΔH_f (0 K)	1.6227	eV per atom
energy above the most stable polymorph in this dataset	1012.4	meV/atom

=====

[22]
The following is a PBE-GGA calculation of BaTaMo2 after structural relaxation, from the Alexandria database.

Cell lengths 9.7205, 9.7205, 9.7205 Å; angles 149.73, 149.73, 43.34 degrees
Positions (direct):
Ba1 0.3750 0.6250 0.7500
Ba2 0.6250 0.3750 0.2500
Ta1 0.1250 0.8750 0.2500
Ta2 0.8750 0.1250 0.7500
Mo1 0.0000 0.0000 0.0000
Mo2 0.0000 0.0000 0.5000
Mo3 0.0000 0.5000 0.0000
Mo4 0.5000 0.0000 0.5000

Values from the calculation:
V	29.10	Å³/atom
ΔH_f (0 K)	1.3842	eV per atom
energy above the most stable polymorph in this dataset	739.0	meV/atom

=====

[23]
The following is a PBE-GGA calculation of BaTaMo after structural relaxation, from the Alexandria database.

Cell lengths 6.9818, 6.9818, 6.9818 Å; angles 151.45, 151.45, 40.82 degrees
Positions (direct):
Ba1 0.0000 0.0000 0.0000
Ta1 0.2814 0.2814 0.0000
Mo1 0.6989 0.6989 0.0000

Values from the calculation:
V	25.86	Å³/atom
ΔH_f (0 K)	0.7165	eV per atom
energy above the most stable polymorph in this dataset	0.0	meV/atom

=====

[24]
The following is a PBE-GGA calculation of Ba2TaMo after structural relaxation, from the Alexandria database.

Cell lengths 10.1860, 10.1860, 4.0692 Å; angles 101.34, 101.34, 19.28 degrees
Positions (direct):
Ba1 0.1516 0.1516 0.1478
Ba2 0.8484 0.8484 0.8522
Ta1 0.0000 0.0000 0.5000
Mo1 0.5000 0.5000 0.0000

Values from the calculation:
V	34.15	Å³/atom
ΔH_f (0 K)	0.7563	eV per atom
energy above the most stable polymorph in this dataset	146.0	meV/atom

=====

[25]
The following is a PBE-GGA calculation of BaTaMo2 after structural relaxation, from the Alexandria database.

Cell lengths 7.6056, 7.6056, 7.6056 Å; angles 154.67, 145.78, 43.05 degrees
Positions (direct):
Ba1 0.0000 0.0000 0.0000
Ta1 0.7385 0.2385 0.5000
Mo1 0.2190 0.7190 0.5000
Mo2 0.3469 0.3469 0.0000

Values from the calculation:
V	26.40	Å³/atom
ΔH_f (0 K)	0.8495	eV per atom
energy above the most stable polymorph in this dataset	204.3	meV/atom

=====

[26]
The following is a PBE-GGA calculation of BaTaMo after structural relaxation, from the Alexandria database.

Cell lengths 4.7799, 4.7799, 4.7799 Å; angles 60.00, 60.00, 60.00 degrees
Positions (direct):
Ba1 0.0000 0.0000 0.0000
Ta1 0.5000 0.5000 0.5000
Mo1 0.2500 0.2500 0.2500

Values from the calculation:
V	25.74	Å³/atom
ΔH_f (0 K)	1.4442	eV per atom
energy above the most stable polymorph in this dataset	727.7	meV/atom

=====

[27]
The following is a PBE-GGA calculation of BaTaMo2 after structural relaxation, from the Alexandria database.

Cell lengths 2.9879, 2.9879, 10.2331 Å; angles 90.00, 90.00, 111.96 degrees
Positions (direct):
Ba1 0.0000 0.0000 0.0000
Ta1 0.5000 0.5000 0.6896
Mo1 0.0000 0.0000 0.4838
Mo2 0.5000 0.5000 0.2899

Values from the calculation:
V	21.18	Å³/atom
ΔH_f (0 K)	0.7527	eV per atom
energy above the most stable polymorph in this dataset	107.5	meV/atom

=====

[28]
The following is a PBE-GGA calculation of BaTaMo2 after structural relaxation, from the Alexandria database.

Cell lengths 5.6475, 5.6475, 2.9014 Å; angles 101.53, 101.53, 111.02 degrees
Positions (direct):
Ba1 0.0000 0.0000 0.0000
Ta1 0.5000 0.5000 0.0000
Mo1 0.0000 0.5000 0.5000
Mo2 0.5000 0.0000 0.5000

Values from the calculation:
V	20.20	Å³/atom
ΔH_f (0 K)	1.2147	eV per atom
energy above the most stable polymorph in this dataset	569.5	meV/atom

=====

[29]
The following is a PBE-GGA calculation of BaTaMo2 after structural relaxation, from the Alexandria database.

Cell lengths 3.0855, 4.1638, 7.5560 Å; angles 90.00, 93.91, 90.00 degrees
Positions (direct):
Ba1 0.0000 0.0000 0.0000
Ta1 0.1641 0.5000 0.6394
Mo1 0.3687 0.5000 0.3337
Mo2 0.7263 0.0000 0.4754

Values from the calculation:
V	24.21	Å³/atom
ΔH_f (0 K)	0.6987	eV per atom
energy above the most stable polymorph in this dataset	53.4	meV/atom

=====

[30]
The following is a PBE-GGA calculation of BaTaMo3 after structural relaxation, from the Alexandria database.

Cell lengths 4.9892, 4.9892, 4.9892 Å; angles 90.00, 90.00, 90.00 degrees
Positions (direct):
Ba1 0.0000 0.0000 0.0000
Ta1 0.5000 0.5000 0.5000
Mo1 0.0000 0.5000 0.5000
Mo2 0.5000 0.0000 0.5000
Mo3 0.5000 0.5000 0.0000

Values from the calculation:
V	24.84	Å³/atom
ΔH_f (0 K)	1.5761	eV per atom
energy above the most stable polymorph in this dataset	0.0	meV/atom